VASP calculation (PBE-GGA) on a geometry-optimized Pm5ErHg4 structure.

abc: 3.772 3.772 20.246
angles: 90.00 90.00 90.00
Fractional coordinates of all 10 atoms:
1 Pm 0.000 0.000 0.000
2 Pm 0.000 0.000 0.190
3 Pm 0.000 0.000 0.382
4 Pm 0.000 0.000 0.618
5 Pm 0.000 0.000 0.810
6 Er 0.500 0.500 0.500
7 Hg 0.500 0.500 0.096
8 Hg 0.500 0.500 0.288
9 Hg 0.500 0.500 0.712
10 Hg 0.500 0.500 0.904

## Properties
SG: No. 123
Fermi-level density of states (states/eV/cell): 12.16
Raw total energy (eV per cell): -33.2
Total moment (μB per atom): 0.1291
Formation enthalpy at 0 K (eV per atom): -0.364
Theoretical density (g cm⁻³): 9.8

VASP calculation (PBE-GGA) on a geometry-optimized Na4HBr2 structure.

abc: 10.157 10.157 10.157
angles: 154.86 154.86 35.86
Fractional coordinates of all 7 atoms:
1 Na 0.000 0.500 0.500
2 Na 0.173 0.173 0.000
3 Na 0.500 0.000 0.500
4 Na 0.827 0.827 0.000
5 H 0.000 0.000 0.000
6 Br 0.392 0.392 0.000
7 Br 0.608 0.608 0.000

## Properties
SG: No. 139
Fermi-level density of states (states/eV/cell): 1.61
Raw total energy (eV per cell): -17.7
Total moment (μB per atom): 0.0000
Theoretical density (g cm⁻³): 2.2

VASP calculation (PBE-GGA) on a geometry-optimized Ba2Li2Ca3 structure.

abc: 16.922 16.922 4.133
angles: 90.00 90.00 165.61
Fractional coordinates of all 7 atoms:
1 Ba 0.193 0.807 0.000
2 Ba 0.807 0.193 0.000
3 Li 0.377 0.623 0.500
4 Li 0.623 0.377 0.500
5 Ca 0.073 0.927 0.000
6 Ca 0.500 0.500 0.500
7 Ca 0.927 0.073 0.000

## Properties
SG: No. 65
Fermi-level density of states (states/eV/cell): 7.10
Raw total energy (eV per cell): -13.3
Total moment (μB per atom): 0.0000
Formation enthalpy at 0 K (eV per atom): 0.049
Theoretical density (g cm⁻³): 2.3

VASP calculation (PBE-GGA) on a geometry-optimized CaTe2Br structure.

abc: 8.758 8.758 8.758
angles: 32.82 32.82 32.82
Fractional coordinates of all 4 atoms:
1 Ca 0.000 0.000 0.000
2 Te 0.389 0.389 0.389
3 Te 0.611 0.611 0.611
4 Br 0.500 0.500 0.500

## Properties
SG: No. 166
Fermi-level density of states (states/eV/cell): 6.23
Formation energy without anion corrections (meV per atom): -611
Raw total energy (eV per cell): -12.4
Excess energy over the best structure of this formula in the dataset (meV per atom): 437.6
Total moment (μB per atom): 0.0000
Theoretical density (g cm⁻³): 3.5

VASP calculation (PBE-GGA) on a geometry-optimized Pm3SiGe6Pt2 structure.

abc: 5.637 5.637 9.322
angles: 90.00 90.00 120.00
Fractional coordinates of all 12 atoms:
1 Pm 0.000 0.000 0.000
2 Pm 0.333 0.667 0.586
3 Pm 0.667 0.333 0.414
4 Si 0.000 0.000 0.500
5 Ge 0.171 0.342 0.277
6 Ge 0.171 0.829 0.277
7 Ge 0.342 0.171 0.723
8 Ge 0.658 0.829 0.277
9 Ge 0.829 0.171 0.723
10 Ge 0.829 0.658 0.723
11 Pt 0.333 0.667 0.052
12 Pt 0.667 0.333 0.948

## Properties
SG: No. 164
Fermi-level density of states (states/eV/cell): 5.18
Formation energy without anion corrections (meV per atom): -349
Raw total energy (eV per cell): -63.6
Total moment (μB per atom): 0.0000
Theoretical density (g cm⁻³): 8.3

VASP calculation (PBE-GGA) on a geometry-optimized AcCrB4 structure.

abc: 6.241 12.197 3.669
angles: 90.00 90.00 90.00
Fractional coordinates of all 24 atoms:
1 Ac 0.120 0.154 0.000
2 Ac 0.380 0.654 0.000
3 Ac 0.620 0.346 0.000
4 Ac 0.880 0.846 0.000
5 Cr 0.114 0.426 0.000
6 Cr 0.386 0.926 0.000
7 Cr 0.614 0.074 0.000
8 Cr 0.886 0.574 0.000
9 B 0.018 0.678 0.500
10 B 0.110 0.543 0.500
11 B 0.149 0.968 0.500
12 B 0.238 0.829 0.500
13 B 0.262 0.329 0.500
14 B 0.351 0.468 0.500
15 B 0.390 0.043 0.500
16 B 0.482 0.178 0.500
17 B 0.518 0.822 0.500
18 B 0.610 0.957 0.500
19 B 0.649 0.532 0.500
20 B 0.738 0.671 0.500
21 B 0.762 0.171 0.500
22 B 0.851 0.032 0.500
23 B 0.890 0.457 0.500
24 B 0.982 0.322 0.500

## Properties
SG: No. 55
Fermi-level density of states (states/eV/cell): 1.10
Raw total energy (eV per cell): -168.6
Total moment (μB per atom): 0.0000
Formation enthalpy at 0 K (eV per atom): -0.285
Theoretical density (g cm⁻³): 7.7